Here is a relaxed KPmCN2 crystal from Alexandria. Energies are from GGA-PBE.

Properties
- VASP energy: -6.729 eV/atom
- Space-group type: Pmmm

Geometry as POSCAR:
```
KPmCN2
1.0
3.435 0.000 0.000
0.000 4.626 0.000
0.000 0.000 6.199
K Pm C N
1 1 1 2
direct
0.000 0.000 0.000
0.000 0.500 0.500
0.500 0.500 0.000
0.500 0.500 0.200
0.500 0.500 0.800
```